Entry 1:
Compound: Sc2SbRhC
Source: Alexandria via LeMat-Bulk
Functional: GGA-PBE
Structure: relaxed

Output
Total energy, eV/atom: -7.2528
Raw formation energy, eV per atom: -0.58
Density of states at the Fermi level, states/eV per cell: 3.4
Size of the total moment, μB/f.u.: 0.0

abc: 4.5162 4.5162 4.1572
angles: 90.00 90.00 90.00
Positions (direct):
C (0.0000, 0.0000, 0.0000)
Sb (0.5000, 0.5000, 0.5000)
Sc (0.0000, 0.5000, 0.0000)
Sc (0.5000, 0.0000, 0.0000)
Rh (0.0000, 0.0000, 0.5000)


Entry 2:
Compound: Sb2TeRhC
Source: Alexandria via LeMat-Bulk
Functional: GGA-PBE
Structure: relaxed

Output
Total energy, eV/atom: -4.0029
Excess energy over the best structure of this formula in the dataset, meV/atom: 585.5
Raw formation energy, eV per atom: 1.59
Density of states at the Fermi level, states/eV per cell: 5.1
Size of the total moment, μB/f.u.: 0.9

abc: 5.0392 5.0392 5.4590
angles: 90.00 90.00 90.00
Positions (direct):
Sb (0.0000, 0.5000, 0.0000)
Sb (0.5000, 0.0000, 0.0000)
Rh (0.0000, 0.0000, 0.0000)
C (0.5000, 0.5000, 0.5000)
Te (0.0000, 0.0000, 0.5000)


Entry 3:
Compound: SbTe2RhC
Source: Alexandria via LeMat-Bulk
Functional: GGA-PBE
Structure: relaxed

Output
Total energy, eV/atom: -3.7804
Excess energy over the best structure of this formula in the dataset, meV/atom: 537.2
Raw formation energy, eV per atom: 1.62
Density of states at the Fermi level, states/eV per cell: 4.9
Size of the total moment, μB/f.u.: 0.8

abc: 5.3187 5.3187 4.9733
angles: 90.00 90.00 90.00
Positions (direct):
Te (0.5000, 0.0000, 0.0000)
Te (0.0000, 0.5000, 0.0000)
C (0.5000, 0.5000, 0.5000)
Sb (0.0000, 0.0000, 0.5000)
Rh (0.0000, 0.0000, 0.0000)


Entry 4:
Compound: Sb2TeRhC
Source: Alexandria via LeMat-Bulk
Functional: GGA-PBE
Structure: relaxed

Output
Total energy, eV/atom: -4.5884
Excess energy over the best structure of this formula in the dataset, meV/atom: 0.0
Raw formation energy, eV per atom: 1.00
Density of states at the Fermi level, states/eV per cell: 2.6
Size of the total moment, μB/f.u.: 0.0

abc: 4.6488 4.6488 4.6130
angles: 90.00 90.00 90.00
Positions (direct):
Rh (0.5000, 0.5000, 0.5000)
Sb (0.5000, 0.0000, 0.0000)
Sb (0.0000, 0.5000, 0.0000)
C (0.0000, 0.0000, 0.0000)
Te (0.0000, 0.0000, 0.5000)


Entry 5:
Compound: SbTe2RhC
Source: Alexandria via LeMat-Bulk
Functional: GGA-PBE
Structure: relaxed

Output
Total energy, eV/atom: -4.3176
Excess energy over the best structure of this formula in the dataset, meV/atom: 0.0
Raw formation energy, eV per atom: 1.08
Density of states at the Fermi level, states/eV per cell: 2.4
Size of the total moment, μB/f.u.: 0.0

abc: 4.6918 4.6918 4.6001
angles: 90.00 90.00 90.00
Positions (direct):
Sb (0.0000, 0.0000, 0.5000)
Te (0.0000, 0.5000, 0.0000)
Te (0.5000, 0.0000, 0.0000)
Rh (0.5000, 0.5000, 0.5000)
C (0.0000, 0.0000, 0.0000)


Entry 6:
Compound: SbRh2WC
Source: Alexandria via LeMat-Bulk
Functional: GGA-PBE
Structure: relaxed

Output
Total energy, eV/atom: -5.8790
Raw formation energy, eV per atom: 2.32
Density of states at the Fermi level, states/eV per cell: 4.4
Size of the total moment, μB/f.u.: 0.6

abc: 4.6964 5.2251 4.6964
angles: 90.00 90.00 90.00
Positions (direct):
Rh (0.5000, 0.0000, 0.0000)
Rh (0.0000, 0.0000, 0.5000)
W (0.0000, 0.0000, 0.0000)
Sb (0.0000, 0.5000, 0.0000)
C (0.5000, 0.5000, 0.5000)